(1)
This record from Alexandria describes crystalline ZrScTe2 at its relaxed geometry. The functional is PBE-GGA.

Cell: 5.619 5.619 4.976 Å, 96.21 96.21 38.46°
Atoms (fractional coordinates):
1 Zr 0.000 0.000 0.000
2 Sc 0.205 0.205 0.568
3 Te 0.482 0.482 0.504
4 Te 0.720 0.720 0.071

Results
formation energy from raw total energies: -834 meV per atom
offset from the most stable computed form: 171 meV/atom
space-group type: Cm, No. 8

=====

(2)
This record from Alexandria describes crystalline BaCa3Pt at its relaxed geometry. The functional is PBE-GGA.

Cell: 10.872 10.872 10.872 Å, 60.00 60.00 60.00°
Atoms (fractional coordinates):
1 Ba 0.000 0.000 0.000
2 Ba 0.000 0.000 0.500
3 Ba 0.000 0.500 0.000
4 Ba 0.500 0.000 0.000
5 Ca 0.197 0.197 0.553
6 Ca 0.197 0.553 0.197
7 Ca 0.197 0.553 0.553
8 Ca 0.447 0.447 0.803
9 Ca 0.447 0.803 0.447
10 Ca 0.447 0.803 0.803
11 Ca 0.553 0.197 0.197
12 Ca 0.553 0.197 0.553
13 Ca 0.553 0.553 0.197
14 Ca 0.803 0.447 0.447
15 Ca 0.803 0.447 0.803
16 Ca 0.803 0.803 0.447
17 Pt 0.000 0.500 0.500
18 Pt 0.500 0.000 0.500
19 Pt 0.500 0.500 0.000
20 Pt 0.500 0.500 0.500

Results
offset from the most stable computed form: 158 meV/atom
space-group type: Fd-3m, No. 227
energy relative to the elements: -303 meV per atom

=====

(3)
This record from Alexandria describes crystalline Sm2BeGa3Ir4 at its relaxed geometry. The functional is PBE-GGA.

Cell: 4.233 4.233 10.034 Å, 90.00 90.00 90.00°
Atoms (fractional coordinates):
1 Sm 0.000 0.500 0.245
2 Sm 0.500 0.000 0.755
3 Be 0.000 0.000 0.500
4 Ga 0.000 0.500 0.867
5 Ga 0.500 0.000 0.133
6 Ga 0.500 0.500 0.500
7 Ir 0.000 0.000 0.000
8 Ir 0.000 0.500 0.621
9 Ir 0.500 0.000 0.379
10 Ir 0.500 0.500 0.000

Results
space-group type: P-4m2, No. 115
energy relative to the elements: -651 meV per atom

=====

(4)
This record from Alexandria describes crystalline La6Ho2Tm at its relaxed geometry. The functional is PBE-GGA.

Cell: 10.103 10.103 3.694 Å, 90.00 90.00 124.06°
Atoms (fractional coordinates):
1 La 0.005 0.338 0.000
2 La 0.180 0.180 0.500
3 La 0.338 0.005 0.000
4 La 0.662 0.995 0.000
5 La 0.820 0.820 0.500
6 La 0.995 0.662 0.000
7 Ho 0.329 0.671 0.500
8 Ho 0.671 0.329 0.500
9 Tm 0.500 0.500 0.000

Results
space-group type: Cmmm, No. 65
energy relative to the elements: 118 meV per atom

=====

(5)
This record from Alexandria describes crystalline LiRhS2N at its relaxed geometry. The functional is PBE-GGA.

Cell: 4.405 4.405 3.387 Å, 90.00 90.00 90.00°
Atoms (fractional coordinates):
1 Li 0.000 0.000 0.000
2 Rh 0.500 0.500 0.500
3 S 0.000 0.500 0.000
4 S 0.500 0.000 0.000
5 N 0.000 0.000 0.500

Results
formation energy from raw total energies: 1122 meV per atom
offset from the most stable computed form: 874 meV/atom
space-group type: P4/mmm, No. 123

=====

(6)
This record from Alexandria describes crystalline GdYThIn at its relaxed geometry. The functional is PBE-GGA.

Cell: 5.501 5.501 5.501 Å, 60.00 60.00 60.00°
Atoms (fractional coordinates):
1 Gd 0.000 0.000 0.000
2 Y 0.500 0.500 0.500
3 Th 0.750 0.750 0.750
4 In 0.250 0.250 0.250

Results
space-group type: F-43m, No. 216
energy relative to the elements: -41 meV per atom

=====

(7)
This record from Alexandria describes crystalline Pm4Nd2Tm5 at its relaxed geometry. The functional is PBE-GGA.

Cell: 3.580 8.612 11.796 Å, 89.52 83.58 89.50°
Atoms (fractional coordinates):
1 Pm 0.011 0.205 0.472
2 Pm 0.116 0.254 0.178
3 Pm 0.884 0.746 0.822
4 Pm 0.989 0.795 0.528
5 Nd 0.149 0.649 0.100
6 Nd 0.851 0.351 0.900
7 Tm 0.410 0.073 0.716
8 Tm 0.455 0.473 0.648
9 Tm 0.500 0.000 0.000
10 Tm 0.545 0.527 0.352
11 Tm 0.590 0.927 0.284

Results
offset from the most stable computed form: 0 meV/atom
space-group type: P-1, No. 2
energy relative to the elements: 53 meV per atom

=====

(8)
This record from Alexandria describes crystalline MnFeRh3 at its relaxed geometry. The functional is PBE-GGA.

Cell: 4.381 4.381 4.381 Å, 90.00 90.00 90.00°
Atoms (fractional coordinates):
1 Mn 0.000 0.000 0.000
2 Fe 0.500 0.500 0.500
3 Rh 0.000 0.500 0.500
4 Rh 0.500 0.000 0.500
5 Rh 0.500 0.500 0.000

Results
offset from the most stable computed form: 54 meV/atom
space-group type: Pm-3m, No. 221
energy relative to the elements: 1446 meV per atom

=====

(9)
This record from Alexandria describes crystalline K3Tl2GaBr6 at its relaxed geometry. The functional is PBE-GGA.

Cell: 10.530 10.530 9.426 Å, 102.85 102.85 25.87°
Atoms (fractional coordinates):
1 K 0.000 0.000 0.000
2 K 0.332 0.332 0.666
3 K 0.668 0.668 0.334
4 Tl 0.335 0.335 0.169
5 Tl 0.665 0.665 0.831
6 Ga 0.000 0.000 0.500
7 Br 0.162 0.162 0.576
8 Br 0.164 0.164 0.087
9 Br 0.498 0.498 0.737
10 Br 0.502 0.502 0.263
11 Br 0.836 0.836 0.913
12 Br 0.838 0.838 0.424

Results
formation energy from raw total energies: -1244 meV per atom
space-group type: C2/m, No. 12

=====

| no. | D(E_F) (states/eV per atom) |
| --- | --- |
| 1 | 0.8222 |
| 2 | 1.4119 |
| 3 | 0.5982 |
| 4 | 1.4646 |
| 5 | 0.9314 |
| 6 | 1.6036 |
| 7 | 1.6714 |
| 8 | 2.2341 |
| 9 | 0.0000 |